# 1
First-principles (GGA-PBE) data for a relaxed structure of PrDyHo, as listed in the Alexandria database.

Values from the calculation:
Offset from the most stable computed form   0.58 eV per formula unit
Magnetization   0.0 Bohr magnetons per cell

Unit cell a=4.870 b=4.870 c=8.712 alpha=90.00 beta=90.00 gamma=90.00
Space group P4/nmm (No. 129, origin choice 2)
Asymmetric unit:
Pr 0.250 0.250 0.194 (multiplicity 2)
Dy 0.250 0.750 0.500 (multiplicity 2)
Ho 0.250 0.250 0.796 (multiplicity 2)

# 2
First-principles (GGA-PBE) data for a relaxed structure of Pr3Dy5Ho4, as listed in the Alexandria database.

Values from the calculation:
Offset from the most stable computed form   3.09 eV per formula unit
Magnetization   0.6 Bohr magnetons per cell

Unit cell a=17.992 b=5.745 c=8.704 alpha=90.00 beta=117.10 gamma=90.00
Space group C2/m (No. 12)
Asymmetric unit:
Pr 0.000 0.000 0.000 (multiplicity 2)
Pr 0.186 0.500 0.221 (multiplicity 4)
Dy 0.000 0.500 0.000 (multiplicity 2)
Dy 0.100 0.000 0.436 (multiplicity 4)
Dy 0.158 0.000 0.885 (multiplicity 4)
Ho 0.033 0.500 0.694 (multiplicity 4)
Ho 0.205 0.500 0.650 (multiplicity 4)

# 3
First-principles (GGA-PBE) data for a relaxed structure of Pr4DyHo5, as listed in the Alexandria database.

Values from the calculation:
Offset from the most stable computed form   1.70 eV per formula unit
Magnetization   0.0 Bohr magnetons per cell

Unit cell a=3.537 b=8.777 c=11.354 alpha=90.03 beta=90.00 gamma=101.61
Space group P-1 (No. 2)
Asymmetric unit:
Pr 0.033 0.066 0.250 (multiplicity 2)
Pr 0.343 0.682 0.250 (multiplicity 2)
Dy 0.500 0.000 0.500 (multiplicity 1)
Ho 0.172 0.346 0.048 (multiplicity 2)
Ho 0.173 0.346 0.452 (multiplicity 2)
Ho 0.500 0.000 0.000 (multiplicity 1)

# 4
First-principles (GGA-PBE) data for a relaxed structure of Pr6DyHo3, as listed in the Alexandria database.

Values from the calculation:
Uncorrected energy   -4.487 eV per atom
Magnetization   0.0 Bohr magnetons per cell

Unit cell a=5.521 b=10.378 c=12.575 alpha=90.00 beta=100.04 gamma=90.00
Space group P2_1/c (No. 14)
Asymmetric unit:
Pr 0.007 0.186 0.005 (multiplicity 4)
Pr 0.097 0.005 0.771 (multiplicity 4)
Pr 0.426 0.172 0.355 (multiplicity 4)
Dy 0.000 0.000 0.500 (multiplicity 2)
Ho 0.427 0.668 0.867 (multiplicity 4)
Ho 0.500 0.000 0.000 (multiplicity 2)

# 5
First-principles (GGA-PBE) data for a relaxed structure of Pr3Dy8Ho, as listed in the Alexandria database.

Values from the calculation:
Uncorrected energy   -4.032 eV per atom
Magnetization   0.0 Bohr magnetons per cell

Unit cell a=8.773 b=8.773 c=11.357 alpha=90.00 beta=90.00 gamma=90.00
Space group I-42m (No. 121)
Asymmetric unit:
Pr 0.000 0.000 0.000 (multiplicity 2)
Pr 0.000 0.500 0.250 (multiplicity 4)
Dy 0.125 0.125 0.745 (multiplicity 8)
Dy 0.244 0.244 0.489 (multiplicity 8)
Ho 0.000 0.000 0.500 (multiplicity 2)

# 6
First-principles (GGA-PBE) data for a relaxed structure of Pr4Dy2Ho, as listed in the Alexandria database.

Values from the calculation:
Offset from the most stable computed form   0.00 eV per formula unit
Magnetization   0.0 Bohr magnetons per cell

Unit cell a=12.092 b=24.456 c=6.511 alpha=90.00 beta=90.00 gamma=90.00
Space group Fdd2 (No. 43)
Asymmetric unit:
Pr 0.051 0.070 0.000 (multiplicity 16)
Pr 0.068 0.144 0.530 (multiplicity 16)
Dy 0.024 0.216 0.053 (multiplicity 16)
Ho 0.000 0.000 0.497 (multiplicity 8)

# 7
First-principles (GGA-PBE) data for a relaxed structure of Pr8DyHo6, as listed in the Alexandria database.

Values from the calculation:
Offset from the most stable computed form   0.11 eV per formula unit
Magnetization   0.0 Bohr magnetons per cell

Unit cell a=9.4761 b=9.4761 c=6.6073 alpha=90.00 beta=90.00 gamma=120.00
Space group P-3 (No. 147)
Asymmetric unit:
Pr 0.0385 0.7503 0.1683 (multiplicity 6)
Pr 0.3333 0.6667 0.1203 (multiplicity 2)
Dy 0.0000 0.0000 0.5000 (multiplicity 1)
Ho 0.0952 0.6573 0.6566 (multiplicity 6)

# 8
First-principles (GGA-PBE) data for a relaxed structure of Pr8DyHo2, as listed in the Alexandria database.

Values from the calculation:
Offset from the most stable computed form   0.00 eV per formula unit
Magnetization   0.0 Bohr magnetons per cell

Unit cell a=9.228 b=16.687 c=6.041 alpha=90.00 beta=123.35 gamma=90.00
Space group C2/m (No. 12)
Asymmetric unit:
Pr 0.000 0.206 0.000 (multiplicity 4)
Pr 0.079 0.500 0.796 (multiplicity 4)
Pr 0.216 0.118 0.679 (multiplicity 8)
Dy 0.000 0.000 0.000 (multiplicity 2)
Ho 0.000 0.310 0.500 (multiplicity 4)

# 9
First-principles (GGA-PBE) data for a relaxed structure of Pr4Dy2Ho, as listed in the Alexandria database.

Values from the calculation:
Offset from the most stable computed form   0.43 eV per formula unit
Magnetization   0.0 Bohr magnetons per cell

Unit cell a=6.258 b=6.718 c=11.729 alpha=90.00 beta=104.40 gamma=90.00
Space group P2_1/m (No. 11)
Asymmetric unit:
Pr 0.040 0.250 0.365 (multiplicity 2)
Pr 0.152 0.250 0.950 (multiplicity 2)
Pr 0.355 0.511 0.216 (multiplicity 4)
Dy 0.287 0.750 0.923 (multiplicity 2)
Dy 0.393 0.750 0.505 (multiplicity 2)
Ho 0.147 0.250 0.662 (multiplicity 2)

# 10
First-principles (GGA-PBE) data for a relaxed structure of Pr5Dy6Ho2, as listed in the Alexandria database.

Values from the calculation:
Uncorrected energy   -4.573 eV per atom
Magnetization   0.0 Bohr magnetons per cell

Unit cell a=11.698 b=20.683 c=3.618 alpha=90.00 beta=90.00 gamma=90.00
Space group Pbam (No. 55)
Asymmetric unit:
Pr 0.000 0.000 0.000 (multiplicity 2)
Pr 0.083 0.273 0.000 (multiplicity 4)
Pr 0.198 0.551 0.000 (multiplicity 4)
Dy 0.063 0.419 0.500 (multiplicity 4)
Dy 0.080 0.132 0.500 (multiplicity 4)
Dy 0.175 0.862 0.000 (multiplicity 4)
Ho 0.172 0.711 0.500 (multiplicity 4)

# 11
First-principles (GGA-PBE) data for a relaxed structure of Pr6Dy8Ho, as listed in the Alexandria database.

Values from the calculation:
Offset from the most stable computed form   0.92 eV per formula unit
Magnetization   0.0 Bohr magnetons per cell

Unit cell a=9.4323 b=9.4323 c=6.5737 alpha=90.00 beta=90.00 gamma=120.00
Space group P-3 (No. 147)
Asymmetric unit:
Pr 0.0345 0.7458 0.3339 (multiplicity 6)
Dy 0.0949 0.6565 0.8434 (multiplicity 6)
Dy 0.3333 0.6667 0.3801 (multiplicity 2)
Ho 0.0000 0.0000 0.0000 (multiplicity 1)

# 12
First-principles (GGA-PBE) data for a relaxed structure of PrDy2Ho9, as listed in the Alexandria database.

Values from the calculation:
Offset from the most stable computed form   0.00 eV per formula unit
Magnetization   0.0 Bohr magnetons per cell

Unit cell a=5.010 b=5.010 c=15.034 alpha=90.00 beta=90.00 gamma=90.00
Space group P4/mmm (No. 123)
Asymmetric unit:
Pr 0.000 0.000 0.000 (multiplicity 1)
Dy 0.000 0.000 0.334 (multiplicity 2)
Ho 0.000 0.500 0.169 (multiplicity 4)
Ho 0.000 0.500 0.500 (multiplicity 2)
Ho 0.500 0.500 0.000 (multiplicity 1)
Ho 0.500 0.500 0.335 (multiplicity 2)

# 13
First-principles (GGA-PBE) data for a relaxed structure of Pr3Dy2Ho7, as listed in the Alexandria database.

Values from the calculation:
Uncorrected energy   -4.544 eV per atom
Magnetization   0.0 Bohr magnetons per cell

Unit cell a=6.349 b=3.537 c=17.563 alpha=90.00 beta=96.29 gamma=90.00
Space group P2/m (No. 10)
Asymmetric unit:
Pr 0.000 0.000 0.000 (multiplicity 1)
Pr 0.047 0.500 0.659 (multiplicity 2)
Dy 0.445 0.000 0.326 (multiplicity 2)
Ho 0.230 0.500 0.166 (multiplicity 2)
Ho 0.247 0.000 0.500 (multiplicity 2)
Ho 0.277 0.000 0.834 (multiplicity 2)
Ho 0.500 0.500 0.000 (multiplicity 1)

# 14
First-principles (GGA-PBE) data for a relaxed structure of Pr3DyHo2, as listed in the Alexandria database.

Values from the calculation:
Offset from the most stable computed form   0.00 eV per formula unit
Magnetization   0.0 Bohr magnetons per cell

Unit cell a=13.305 b=3.563 c=17.827 alpha=90.00 beta=102.45 gamma=90.00
Space group C2/m (No. 12)
Asymmetric unit:
Pr 0.068 0.000 0.168 (multiplicity 4)
Pr 0.127 0.500 0.990 (multiplicity 4)
Pr 0.234 0.500 0.338 (multiplicity 4)
Dy 0.041 0.500 0.681 (multiplicity 4)
Ho 0.132 0.500 0.501 (multiplicity 4)
Ho 0.196 0.000 0.834 (multiplicity 4)

# 15
First-principles (GGA-PBE) data for a relaxed structure of PrDy2Ho, as listed in the Alexandria database.

Values from the calculation:
Offset from the most stable computed form   0.01 eV per formula unit
Magnetization   0.0 Bohr magnetons per cell

Unit cell a=5.061 b=5.061 c=5.065 alpha=90.00 beta=90.00 gamma=90.00
Space group P4/mmm (No. 123)
Asymmetric unit:
Pr 0.000 0.000 0.000 (multiplicity 1)
Dy 0.000 0.500 0.500 (multiplicity 2)
Ho 0.500 0.500 0.000 (multiplicity 1)

# 16
First-principles (GGA-PBE) data for a relaxed structure of PrDy2Ho, as listed in the Alexandria database.

Values from the calculation:
Offset from the most stable computed form   0.00 eV per formula unit
Magnetization   0.0 Bohr magnetons per cell

Unit cell a=3.5953 b=3.5953 c=34.8644 alpha=90.00 beta=90.00 gamma=120.00
Space group R3m (No. 160, hexagonal axes)
Asymmetric unit:
Pr 0.0000 0.0000 0.0000 (multiplicity 3)
Dy 0.0000 0.0000 0.5807 (multiplicity 3)
Dy 0.0000 0.0000 0.7516 (multiplicity 3)
Ho 0.0000 0.0000 0.1660 (multiplicity 3)

# 17
First-principles (GGA-PBE) data for a relaxed structure of Pr2DyHo, as listed in the Alexandria database.

Values from the calculation:
Offset from the most stable computed form   0.38 eV per formula unit
Magnetization   0.0 Bohr magnetons per cell

Unit cell a=8.150 b=8.150 c=8.150 alpha=90.00 beta=90.00 gamma=90.00
Space group Fm-3m (No. 225)
Asymmetric unit:
Pr 0.250 0.250 0.250 (multiplicity 8)
Dy 0.000 0.000 0.000 (multiplicity 4)
Ho 0.000 0.000 0.500 (multiplicity 4)

# 18
First-principles (GGA-PBE) data for a relaxed structure of PrDy2Ho, as listed in the Alexandria database.

Values from the calculation:
Offset from the most stable computed form   0.46 eV per formula unit
Magnetization   0.0 Bohr magnetons per cell

Unit cell a=8.069 b=8.069 c=8.069 alpha=90.00 beta=90.00 gamma=90.00
Space group Fm-3m (No. 225)
Asymmetric unit:
Pr 0.000 0.000 0.000 (multiplicity 4)
Dy 0.250 0.250 0.250 (multiplicity 8)
Ho 0.000 0.000 0.500 (multiplicity 4)

# 19
First-principles (GGA-PBE) data for a relaxed structure of Pr3Dy2Ho4, as listed in the Alexandria database.

Values from the calculation:
Offset from the most stable computed form   0.00 eV per formula unit
Magnetization   0.0 Bohr magnetons per cell

Unit cell a=17.261 b=5.626 c=6.675 alpha=90.00 beta=112.74 gamma=90.00
Space group C2/m (No. 12)
Asymmetric unit:
Pr 0.000 0.000 0.000 (multiplicity 2)
Pr 0.139 0.000 0.579 (multiplicity 4)
Dy 0.137 0.500 0.301 (multiplicity 4)
Ho 0.072 0.500 0.758 (multiplicity 4)
Ho 0.221 0.000 0.142 (multiplicity 4)

# 20
First-principles (GGA-PBE) data for a relaxed structure of PrDy6Ho, as listed in the Alexandria database.

Values from the calculation:
Offset from the most stable computed form   1.40 eV per formula unit
Magnetization   0.0 Bohr magnetons per cell

Unit cell a=6.551 b=6.555 c=7.496 alpha=114.79 beta=115.45 gamma=90.11
Space group P-1 (No. 2)
Asymmetric unit:
Pr 0.000 0.000 0.000 (multiplicity 1)
Dy 0.236 0.562 0.472 (multiplicity 2)
Dy 0.253 0.501 0.999 (multiplicity 2)
Dy 0.268 0.092 0.535 (multiplicity 2)
Ho 0.500 0.000 0.000 (multiplicity 1)

# 21
First-principles (GGA-PBE) data for a relaxed structure of PrDy6Ho4, as listed in the Alexandria database.

Values from the calculation:
Offset from the most stable computed form   3.39 eV per formula unit
Magnetization   0.0 Bohr magnetons per cell

Unit cell a=7.624 b=7.624 c=13.043 alpha=90.00 beta=90.00 gamma=90.00
Space group I-42m (No. 121)
Asymmetric unit:
Pr 0.000 0.000 0.000 (multiplicity 2)
Dy 0.000 0.500 0.000 (multiplicity 4)
Dy 0.245 0.245 0.187 (multiplicity 8)
Ho 0.164 0.164 0.423 (multiplicity 8)